BaPI3 after structural relaxation. Source: Alexandria via LeMat-Bulk, functional PBE. Values from VASP.

The formation energy without anion corrections comes out at -148 meV/atom. Its magnetization is 0.40 μB/atom. The space group is Pm-3m, No. 221. The total energy is -12.72 eV/cell.

The structure in Quantum ESPRESSO input format:
```
&SYSTEM
  ibrav = 0, nat = 5, ntyp = 3
/
ATOMIC_SPECIES
I 126.90 I.upf
P 30.97 P.upf
Ba 137.33 Ba.upf
ATOMIC_POSITIONS crystal
I 0.500 0.000 0.000
P 0.500 0.500 0.500
I 0.000 0.000 0.500
Ba 0.000 0.000 0.000
I 0.000 0.500 0.000
CELL_PARAMETERS angstrom
-4.062 1.357 -5.314
-2.449 -6.366 0.247
-4.907 2.054 4.276
```